# 1
DFT (PBEsol) results for crystalline Cr3SF at its relaxed geometry.

Cell: 4.411 4.411 4.411 Å, 90.00 90.00 90.00°
Element x y z (fractional)
1 Cr 0.000 0.000 0.500
2 Cr 0.000 0.500 0.000
3 Cr 0.500 0.000 0.000
4 S 0.500 0.500 0.500
5 F 0.000 0.000 0.000

size of the total moment: 2.96 μB/atom
DOS(E_F): 3.1 states/eV/cell
formation energy (no corrections): 0.57 eV/atom
raw total energy: -6.840 eV/atom

# 2
DFT (PBEsol) results for crystalline CrSbF2 at its relaxed geometry.

Cell: 8.908 8.908 8.908 Å, 20.89 20.89 20.89°
Element x y z (fractional)
1 Cr 0.000 0.000 0.000
2 Sb 0.500 0.500 0.500
3 F 0.367 0.367 0.367
4 F 0.633 0.633 0.633

size of the total moment: 0.98 μB/atom
DOS(E_F): 2.8 states/eV/cell
formation energy (no corrections): -1.29 eV/atom
raw total energy: -5.958 eV/atom

# 3
DFT (PBEsol) results for crystalline Cr2SbF at its relaxed geometry.

Cell: 4.523 4.523 4.523 Å, 60.00 60.00 60.00°
Element x y z (fractional)
1 Cr 0.250 0.250 0.250
2 Cr 0.750 0.750 0.750
3 Sb 0.000 0.000 0.000
4 F 0.500 0.500 0.500

size of the total moment: 1.99 μB/atom
DOS(E_F): 1.4 states/eV/cell
formation energy (no corrections): -0.11 eV/atom
raw total energy: -6.852 eV/atom

# 4
DFT (PBEsol) results for crystalline Sc2TiCrF at its relaxed geometry.

Cell: 5.041 5.041 4.117 Å, 90.00 90.00 90.00°
Element x y z (fractional)
1 Sc 0.000 0.500 0.000
2 Sc 0.500 0.000 0.000
3 Ti 0.000 0.000 0.500
4 Cr 0.000 0.000 0.000
5 F 0.500 0.500 0.500

size of the total moment: 0.16 μB/atom
DOS(E_F): 6.0 states/eV/cell
formation energy (no corrections): 0.21 eV/atom
raw total energy: -6.534 eV/atom

# 5
DFT (PBEsol) results for crystalline ZnCrSi2F at its relaxed geometry.

Cell: 4.193 4.193 4.220 Å, 90.00 90.00 90.00°
Element x y z (fractional)
1 Zn 0.000 0.000 0.000
2 Cr 0.500 0.500 0.000
3 Si 0.000 0.500 0.500
4 Si 0.500 0.000 0.500
5 F 0.000 0.000 0.500

size of the total moment: 0.65 μB/atom
DOS(E_F): 2.5 states/eV/cell
formation energy (no corrections): 0.33 eV/atom
raw total energy: -4.719 eV/atom

# 6
DFT (PBEsol) results for crystalline SrCrF2 at its relaxed geometry.

Cell: 4.529 4.529 4.529 Å, 60.00 60.00 60.00°
Element x y z (fractional)
1 Sr 0.000 0.000 0.000
2 Cr 0.500 0.500 0.500
3 F 0.250 0.250 0.250
4 F 0.750 0.750 0.750

size of the total moment: 1.46 μB/atom
DOS(E_F): 1.4 states/eV/cell
formation energy (no corrections): -1.55 eV/atom
raw total energy: -5.534 eV/atom
energy relative to the lowest polymorph listed for this composition: 532 meV/atom

# 7
DFT (PBEsol) results for crystalline SrCrF2 at its relaxed geometry.

Cell: 5.912 5.912 5.912 Å, 40.38 40.38 40.38°
Element x y z (fractional)
1 Sr 0.000 0.000 0.000
2 Cr 0.500 0.500 0.500
3 F 0.379 0.379 0.379
4 F 0.621 0.621 0.621

size of the total moment: 1.03 μB/atom
DOS(E_F): 0.7 states/eV/cell
formation energy (no corrections): -2.08 eV/atom
raw total energy: -6.066 eV/atom
energy relative to the lowest polymorph listed for this composition: 0 meV/atom

# 8
DFT (PBEsol) results for crystalline TaCrF2 at its relaxed geometry.

Cell: 7.779 7.779 7.779 Å, 20.73 20.73 20.73°
Element x y z (fractional)
1 Ta 0.000 0.000 0.000
2 Cr 0.500 0.500 0.500
3 F 0.091 0.091 0.091
4 F 0.909 0.909 0.909

size of the total moment: 0.82 μB/atom
DOS(E_F): 4.1 states/eV/cell
formation energy (no corrections): -0.85 eV/atom
raw total energy: -7.509 eV/atom